Here is a relaxed structure of ZrNi2Ir from Alexandria via LeMat-Bulk. Energies are from PBEsol.

```
ZrNi2Ir
1.0
1.357 0.783 8.705
-1.357 0.783 8.705
0.000 -1.567 8.705
Zr Ni Ir
1 2 1
Direct
0.000 0.000 0.000 Zr
0.245 0.245 0.245 Ni
0.755 0.755 0.755 Ni
0.500 0.500 0.500 Ir
```

Results
Formation energy from the elements in eV/atom: 0.147